(1)
Computed, not measured: a relaxed structure of Gd2HoHf at the PBE level of DFT.

Cell: 4.8362 4.8566 4.8566 Å, 90.00 90.00 90.00°
Site moments in Bohr magnetons follow the coordinates.
Sites, in units of the cell vectors:
Gd 0.0000 0.5000 0.0000  -7.08
Gd 0.0000 0.0000 0.5000  -7.08
Ho 0.5000 0.0000 0.0000  0.09
Hf 0.5000 0.5000 0.5000  0.17

Summary:
- polymorph energy (0 for the lowest one) (eV per atom) = 0.031
- DFT total energy (eV per atom) = -10.5252
- density of states at the Fermi level (states/eV per cell) = 5.1
- ΔE_f (meV/atom) = 148

(2)
Computed, not measured: a relaxed structure of Gd2HoHf at the PBE level of DFT.

Cell: 3.4154 3.4154 9.8663 Å, 90.00 90.00 90.00°
Site moments in Bohr magnetons follow the coordinates.
Sites, in units of the cell vectors:
Hf 0.5000 0.5000 0.0000  -0.09
Ho 0.5000 0.5000 0.5000  -0.08
Gd 0.0000 0.0000 0.7688  7.11
Gd 0.0000 0.0000 0.2312  7.11

Summary:
- polymorph energy (0 for the lowest one) (eV per atom) = 0.000
- DFT total energy (eV per atom) = -10.5558
- density of states at the Fermi level (states/eV per cell) = 5.8
- ΔE_f (meV/atom) = 117

(3)
Computed, not measured: a relaxed structure of GdHoHfTh at the PBE level of DFT.

Cell: 5.4656 5.4656 5.4656 Å, 60.00 60.00 60.00°
Site moments in Bohr magnetons follow the coordinates.
Sites, in units of the cell vectors:
Gd 0.7500 0.7500 0.7500  7.19
Th 0.2500 0.2500 0.2500  -0.02
Ho 0.5000 0.5000 0.5000  0.01
Hf 0.0000 0.0000 0.0000  0.11

Summary:
- DFT total energy (eV per atom) = -8.8081
- density of states at the Fermi level (states/eV per cell) = 6.5
- ΔE_f (meV/atom) = 200

(4)
Computed, not measured: a relaxed structure of GdHfIn at the PBE level of DFT.

Cell: 3.3708 3.3708 7.1200 Å, 103.69 103.69 90.00°
Site moments in Bohr magnetons follow the coordinates.
Sites, in units of the cell vectors:
Gd 0.0002 0.0002 0.0004  7.09
In 0.3255 0.3255 0.6509  0.00
Hf 0.6743 0.6743 0.3487  -0.07

Summary:
- polymorph energy (0 for the lowest one) (eV per atom) = 0.000
- DFT total energy (eV per atom) = -9.0640
- density of states at the Fermi level (states/eV per cell) = 2.7
- ΔE_f (meV/atom) = -140

(5)
Computed, not measured: a relaxed structure of GdHfIn at the PBE level of DFT.

Cell: 3.4443 5.1189 5.1189 Å, 120.00 90.00 90.00°
Site moments in Bohr magnetons follow the coordinates.
Sites, in units of the cell vectors:
Hf 0.1655 0.0000 0.0000  0.01
In 0.1682 0.3333 0.6667  -0.03
Gd 0.6663 0.6667 0.3333  7.08

Summary:
- polymorph energy (0 for the lowest one) (eV per atom) = 0.139
- DFT total energy (eV per atom) = -8.9255
- density of states at the Fermi level (states/eV per cell) = 3.6
- ΔE_f (meV/atom) = -1

(6)
Computed, not measured: a relaxed structure of GdHf2In at the PBE level of DFT.

Cell: 4.5381 4.5664 4.5664 Å, 90.00 90.00 90.00°
Site moments in Bohr magnetons follow the coordinates.
Sites, in units of the cell vectors:
Gd 0.5000 0.0000 0.0000  7.09
Hf 0.0000 0.0000 0.5000  0.01
Hf 0.0000 0.5000 0.0000  0.01
In 0.5000 0.5000 0.5000  -0.01

Summary:
- DFT total energy (eV per atom) = -9.2550
- density of states at the Fermi level (states/eV per cell) = 3.2
- ΔE_f (meV/atom) = -73